[1]
{
  "formula": "BeIr",
  "functional": "meta-GGA SCAN",
  "state": "single point on PBEsol structure",
  "delta_e_f_ev_per_atom": -0.50,
  "m_tot_mub_per_fu": 0.0,
  "cell": [[8.476, 0.000, 0.000], [0.000, 2.734, 0.000], [-1.032, 0.000, 5.789]],
  "species": ["Be", "Be", "Be", "Be", "Be", "Be", "Ir", "Ir", "Ir", "Ir", "Ir", "Ir"],
  "frac_coords": [[0.000, 0.000, 0.000], [0.093, 0.000, 0.630], [0.345, 0.000, 0.233], [0.500, 0.500, 0.000], [0.593, 0.500, 0.630], [0.845, 0.500, 0.233], [0.123, 0.500, 0.327], [0.224, 0.500, 0.923], [0.378, 0.000, 0.635], [0.623, 0.000, 0.327], [0.724, 0.000, 0.923], [0.878, 0.500, 0.635]]
}

[2]
{
  "formula": "InGaP2",
  "functional": "meta-GGA SCAN",
  "state": "single point on PBEsol structure",
  "delta_e_f_ev_per_atom": -0.35,
  "m_tot_mub_per_fu": 0.0,
  "de_polymorph_ev_per_atom": 0.0294,
  "cell": [[3.995, 0.000, 0.000], [-1.998, 3.460, 0.000], [0.000, 0.000, 19.663]],
  "species": ["In", "In", "In", "Ga", "Ga", "Ga", "P", "P", "P", "P", "P", "P"],
  "frac_coords": [[0.000, 0.000, 0.000], [0.333, 0.667, 0.667], [0.667, 0.333, 0.333], [0.000, 0.000, 0.499], [0.333, 0.667, 0.166], [0.667, 0.333, 0.833], [0.000, 0.000, 0.129], [0.000, 0.000, 0.619], [0.333, 0.667, 0.285], [0.333, 0.667, 0.796], [0.667, 0.333, 0.463], [0.667, 0.333, 0.952]]
}

[3]
{
  "formula": "KN2ClF",
  "functional": "meta-GGA SCAN",
  "state": "single point on PBEsol structure",
  "m_tot_mub_per_fu": 7.0,
  "e_form_raw_kj_per_mol_atoms": 115,
  "cell": [[5.916, 0.000, 0.000], [0.000, 5.916, 0.000], [0.000, 0.000, 4.612]],
  "species": ["K", "N", "N", "Cl", "F"],
  "frac_coords": [[0.000, 0.000, 0.000], [0.000, 0.500, 0.000], [0.500, 0.000, 0.000], [0.500, 0.500, 0.500], [0.000, 0.000, 0.500]]
}

[4]
{
  "formula": "LaSi2Pt",
  "functional": "meta-GGA SCAN",
  "state": "single point on PBEsol structure",
  "m_tot_mub_per_fu": 0.0,
  "e_form_raw_kj_per_mol_atoms": -115,
  "cell": [[4.309, 0.000, 0.000], [0.000, 16.750, 0.000], [0.000, 0.000, 4.246]],
  "species": ["La", "La", "La", "La", "Si", "Si", "Si", "Si", "Si", "Si", "Si", "Si", "Pt", "Pt", "Pt", "Pt"],
  "frac_coords": [[0.000, 0.105, 0.250], [0.000, 0.895, 0.750], [0.500, 0.395, 0.750], [0.500, 0.605, 0.250], [0.000, 0.249, 0.750], [0.000, 0.464, 0.250], [0.000, 0.536, 0.750], [0.000, 0.751, 0.250], [0.500, 0.036, 0.750], [0.500, 0.251, 0.250], [0.500, 0.749, 0.750], [0.500, 0.964, 0.250], [0.000, 0.320, 0.250], [0.000, 0.680, 0.750], [0.500, 0.180, 0.750], [0.500, 0.820, 0.250]]
}

[5]
{
  "formula": "Cd2Pb3",
  "functional": "meta-GGA SCAN",
  "state": "single point on PBEsol structure",
  "delta_e_f_ev_per_atom": 0.07,
  "m_tot_mub_per_fu": 0.0,
  "de_polymorph_ev_per_atom": 0.0061,
  "cell": [[3.405, 0.000, 0.000], [-1.703, 2.949, 0.000], [0.000, 0.000, 39.806]],
  "species": ["Cd", "Cd", "Cd", "Cd", "Cd", "Cd", "Pb", "Pb", "Pb", "Pb", "Pb", "Pb", "Pb", "Pb", "Pb"],
  "frac_coords": [[0.000, 0.000, 0.102], [0.000, 0.000, 0.898], [0.333, 0.667, 0.565], [0.333, 0.667, 0.768], [0.667, 0.333, 0.232], [0.667, 0.333, 0.435], [0.000, 0.000, 0.296], [0.000, 0.000, 0.500], [0.000, 0.000, 0.704], [0.333, 0.667, 0.167], [0.333, 0.667, 0.370], [0.333, 0.667, 0.963], [0.667, 0.333, 0.037], [0.667, 0.333, 0.630], [0.667, 0.333, 0.833]]
}

[6]
{
  "formula": "CaAgP",
  "functional": "meta-GGA SCAN",
  "state": "single point on PBEsol structure",
  "delta_e_f_ev_per_atom": -0.85,
  "m_tot_mub_per_fu": 0.0,
  "cell": [[6.917, 0.000, 0.000], [-3.459, 5.990, 0.000], [0.000, 0.000, 4.143]],
  "species": ["Ca", "Ca", "Ca", "Ag", "Ag", "Ag", "P", "P", "P"],
  "frac_coords": [[0.000, 0.587, 0.000], [0.413, 0.413, 0.000], [0.587, 0.000, 0.000], [0.000, 0.251, 0.500], [0.251, 0.000, 0.500], [0.749, 0.749, 0.500], [0.000, 0.000, 0.000], [0.333, 0.667, 0.500], [0.667, 0.333, 0.500]]
}

[7]
{
  "formula": "BaBiOsBr2",
  "functional": "meta-GGA SCAN",
  "state": "single point on PBEsol structure",
  "m_tot_mub_per_fu": 0.0,
  "e_form_raw_kj_per_mol_atoms": -24,
  "cell": [[5.283, 0.000, 0.000], [0.000, 5.283, 0.000], [0.000, 0.000, 5.187]],
  "species": ["Ba", "Bi", "Os", "Br", "Br"],
  "frac_coords": [[0.000, 0.000, 0.000], [0.500, 0.500, 0.000], [0.500, 0.500, 0.500], [0.000, 0.500, 0.500], [0.500, 0.000, 0.500]]
}

[8]
{
  "formula": "Sc2Pt2Au",
  "functional": "meta-GGA SCAN",
  "state": "single point on PBEsol structure",
  "delta_e_f_ev_per_atom": -1.23,
  "m_tot_mub_per_fu": 0.0,
  "de_polymorph_ev_per_atom": 0.0000,
  "cell": [[7.345, 0.000, 0.000], [0.000, 7.345, 0.000], [0.000, 0.000, 3.310]],
  "species": ["Sc", "Sc", "Sc", "Sc", "Pt", "Pt", "Pt", "Pt", "Au", "Au"],
  "frac_coords": [[0.167, 0.333, 0.000], [0.333, 0.833, 0.000], [0.667, 0.167, 0.000], [0.833, 0.667, 0.000], [0.134, 0.634, 0.500], [0.366, 0.134, 0.500], [0.634, 0.866, 0.500], [0.866, 0.366, 0.500], [0.000, 0.000, 0.500], [0.500, 0.500, 0.500]]
}

[9]
{
  "formula": "Au5Cl",
  "functional": "meta-GGA SCAN",
  "state": "single point on PBEsol structure",
  "m_tot_mub_per_fu": 0.0,
  "de_polymorph_ev_per_atom": 0.1438,
  "e_form_raw_kj_per_mol_atoms": 24,
  "cell": [[0.000, 3.834, 3.834], [3.834, 0.000, 3.834], [3.834, 3.834, 0.000]],
  "species": ["Au", "Au", "Au", "Au", "Au", "Cl"],
  "frac_coords": [[0.000, 0.000, 0.000], [0.375, 0.375, 0.375], [0.375, 0.375, 0.875], [0.375, 0.875, 0.375], [0.875, 0.375, 0.375], [0.750, 0.750, 0.750]]
}

[10]
{
  "formula": "LaTa2Pb",
  "functional": "meta-GGA SCAN",
  "state": "single point on PBEsol structure",
  "delta_e_f_ev_per_atom": 0.69,
  "m_tot_mub_per_fu": 0.0,
  "cell": [[6.320, 0.000, 0.000], [0.000, 9.447, 0.000], [0.000, 0.000, 2.981]],
  "species": ["La", "La", "Ta", "Ta", "Ta", "Ta", "Pb", "Pb"],
  "frac_coords": [[0.000, 0.000, 0.000], [0.500, 0.500, 0.000], [0.250, 0.250, 0.500], [0.250, 0.750, 0.500], [0.750, 0.250, 0.500], [0.750, 0.750, 0.500], [0.000, 0.500, 0.000], [0.500, 0.000, 0.000]]
}

[11]
{
  "formula": "LiLa2Mg",
  "functional": "meta-GGA SCAN",
  "state": "single point on PBEsol structure",
  "delta_e_f_ev_per_atom": 0.20,
  "m_tot_mub_per_fu": 0.4,
  "de_polymorph_ev_per_atom": 0.2123,
  "cell": [[8.640, 0.000, 0.000], [0.000, 8.640, 0.000], [0.000, 0.000, 6.157]],
  "species": ["Li", "Li", "Li", "Li", "La", "La", "La", "La", "La", "La", "La", "La", "Mg", "Mg", "Mg", "Mg"],
  "frac_coords": [[0.000, 0.000, 0.000], [0.000, 0.500, 0.250], [0.500, 0.000, 0.750], [0.500, 0.500, 0.500], [0.222, 0.750, 0.125], [0.250, 0.222, 0.875], [0.250, 0.278, 0.375], [0.278, 0.750, 0.625], [0.722, 0.250, 0.625], [0.750, 0.722, 0.375], [0.750, 0.778, 0.875], [0.778, 0.250, 0.125], [0.000, 0.000, 0.500], [0.000, 0.500, 0.750], [0.500, 0.000, 0.250], [0.500, 0.500, 0.000]]
}

[12]
{
  "formula": "Fe2SeBr",
  "functional": "meta-GGA SCAN",
  "state": "single point on PBEsol structure",
  "m_tot_mub_per_fu": 6.5,
  "de_polymorph_ev_per_atom": 0.0000,
  "e_form_raw_kj_per_mol_atoms": -7,
  "cell": [[3.297, 0.000, 0.000], [0.000, 3.530, 0.000], [0.000, 0.000, 13.169]],
  "species": ["Fe", "Fe", "Fe", "Fe", "Se", "Se", "Br", "Br"],
  "frac_coords": [[0.000, 0.000, 0.000], [0.000, 0.500, 0.365], [0.500, 0.000, 0.865], [0.500, 0.500, 0.500], [0.000, 0.500, 0.851], [0.500, 0.000, 0.351], [0.000, 0.000, 0.600], [0.500, 0.500, 0.100]]
}